(1)
Zn2Ga2Cu7Ge after structural relaxation, computed with PBE.

Lattice parameters (Å, degrees): 3.780 3.780 12.791 73.35 73.35 92.05
Positions (direct):
1 Zn 0.188 0.188 0.312
2 Cu 0.344 0.843 0.157
3 Cu 0.157 0.656 0.843
4 Cu 0.843 0.344 0.157
5 Cu 0.656 0.157 0.843
6 Cu 0.752 0.752 0.500
7 Zn 0.812 0.812 0.688
8 Cu 0.248 0.248 0.500
9 Ge 0.000 0.000 0.000
10 Ga 0.683 0.683 0.317
11 Cu 0.500 0.500 0.000
12 Ga 0.317 0.317 0.683

Values from the calculation:
V = 166.4 Å³/f.u.
uncorrected energy = -3.46 eV per atom

---

(2)
YTlN3 after structural relaxation, computed with PBE.

Lattice parameters (Å, degrees): 4.569 4.569 4.569 90.00 90.00 90.00
Last column: magnetic moment on the atom in μB.
Positions (direct):
1 Tl 0.500 0.500 0.500  0.10
2 N 0.000 0.000 0.500  1.31
3 Y 0.000 0.000 0.000  0.06
4 N 0.500 0.000 0.000  0.86
5 N 0.000 0.500 0.000  1.15

Values from the calculation:
V = 95.4 Å³/f.u.
uncorrected energy = -5.67 eV per atom
raw formation energy = 1.09 eV per atom

---

(3)
DyZnGe2 after structural relaxation, computed with PBE.

Lattice parameters (Å, degrees): 4.378 4.378 5.485 66.48 66.48 60.00
Positions (direct):
1 Ge 0.780 0.780 0.660
2 Dy 0.000 0.000 0.000
3 Zn 0.500 0.500 0.500
4 Ge 0.220 0.220 0.340

Values from the calculation:
V = 80.8 Å³/f.u.
uncorrected energy = -4.07 eV per atom

---

(4)
TmAl3Fe after structural relaxation, computed with PBE.

Lattice parameters (Å, degrees): 4.487 4.487 4.487 90.00 90.00 90.00
Positions (direct):
1 Al 0.000 0.000 0.500
2 Tm 0.500 0.500 0.500
3 Al 0.000 0.500 0.000
4 Al 0.500 0.000 0.000
5 Fe 0.000 0.000 0.000

Values from the calculation:
E above lowest polymorph = 0.0756 eV/atom
V = 90.4 Å³/f.u.
uncorrected energy = -5.08 eV per atom

---

(5)
MnGe2Ir after structural relaxation, computed with PBE.

Lattice parameters (Å, degrees): 2.971 3.729 5.325 90.00 90.00 90.00
Last column: magnetic moment on the atom in μB.
Positions (direct):
1 Ge 0.500 0.000 0.123  -0.04
2 Ge 0.000 0.000 0.639  -0.09
3 Ir 0.000 0.500 0.304  0.07
4 Mn 0.500 0.500 0.803  2.43

Values from the calculation:
V = 59.0 Å³/f.u.
uncorrected energy = -6.90 eV per atom

---

(6)
KReCl2 after structural relaxation, computed with PBE.

Lattice parameters (Å, degrees): 3.589 3.589 7.475 90.00 90.00 115.70
Last column: magnetic moment on the atom in μB.
Positions (direct):
1 Cl 0.000 0.000 0.544  0.01
2 Re 0.500 0.500 0.750  0.58
3 Cl 0.000 0.000 0.956  0.01
4 K 0.500 0.500 0.250  0.00

Values from the calculation:
E above lowest polymorph = 0.3020 eV/atom
V = 86.8 Å³/f.u.
uncorrected energy = -4.09 eV per atom
raw formation energy = 0.22 eV per atom

---

(7)
Th4BiO10 after structural relaxation, computed with PBE.

Lattice parameters (Å, degrees): 3.956 3.956 16.386 83.07 83.07 60.00
Positions (direct):
1 O 0.050 0.050 0.850
2 O 0.150 0.150 0.550
3 O 0.550 0.550 0.349
4 Th 0.200 0.200 0.400
5 O 0.348 0.348 0.955
6 O 0.950 0.950 0.150
7 O 0.750 0.750 0.751
8 O 0.250 0.250 0.249
9 Bi 0.000 0.000 0.000
10 O 0.850 0.850 0.450
11 Th 0.600 0.600 0.199
12 O 0.652 0.652 0.045
13 O 0.450 0.450 0.651
14 Th 0.800 0.800 0.600
15 Th 0.400 0.400 0.801

Values from the calculation:
V = 219.9 Å³/f.u.
uncorrected energy = -8.82 eV per atom
raw formation energy = -3.28 eV per atom

---

(8)
AcSnSb3 after structural relaxation, computed with PBE.

Lattice parameters (Å, degrees): 6.597 6.367 15.031 90.00 90.00 90.00
Positions (direct):
1 Sb 0.500 0.250 0.500
2 Sb 0.000 0.750 0.500
3 Sn 0.500 0.750 0.895
4 Sb 0.250 0.495 0.745
5 Ac 0.250 0.499 0.326
6 Sb 0.750 0.005 0.745
7 Sn 0.500 0.250 0.105
8 Sb 0.250 0.203 0.905
9 Sb 0.000 0.250 0.500
10 Ac 0.750 0.501 0.674
11 Sb 0.250 0.995 0.255
12 Sb 0.750 0.797 0.095
13 Ac 0.250 0.999 0.674
14 Sb 0.250 0.703 0.095
15 Sb 0.500 0.750 0.500
16 Sn 0.000 0.250 0.105
17 Sn 0.000 0.750 0.895
18 Sb 0.750 0.297 0.905
19 Sb 0.750 0.505 0.255
20 Ac 0.750 0.001 0.326

Values from the calculation:
V = 157.8 Å³/f.u.
uncorrected energy = -4.53 eV per atom
raw formation energy = -0.44 eV per atom

---

(9)
K3Np3TaTe8 after structural relaxation, computed with PBE.

Lattice parameters (Å, degrees): 8.706 8.706 9.910 116.05 90.00 120.00
Last column: magnetic moment on the atom in μB.
Positions (direct):
1 Ta 0.000 0.000 0.500  0.87
2 Te 0.755 0.977 0.699  -0.07
3 Np 0.000 0.500 0.500  3.96
4 Np 0.500 0.000 0.500  3.96
5 Te 0.778 0.556 0.301  -0.07
6 K 0.500 0.500 0.000  0.00
7 Np 0.500 0.500 0.500  3.96
8 Te 0.222 0.977 0.699  -0.07
9 Te 0.222 0.444 0.699  -0.07
10 Te 0.262 0.524 0.285  -0.07
11 Te 0.778 0.023 0.301  -0.07
12 K 0.000 0.000 0.000  0.00
13 Te 0.245 0.023 0.301  -0.07
14 Te 0.738 0.476 0.715  -0.07
15 K 0.000 0.500 0.000  0.00

Values from the calculation:
V = 560.7 Å³/f.u.
uncorrected energy = -6.00 eV per atom
raw formation energy = -0.73 eV per atom

---

(10)
CePm2Ir after structural relaxation, computed with PBE.

Lattice parameters (Å, degrees): 6.546 7.195 9.808 90.00 90.00 90.00
Last column: magnetic moment on the atom in μB.
Positions (direct):
1 Ce 0.155 0.959 0.750  0.53
2 Ir 0.464 0.872 0.250  -0.02
3 Ir 0.964 0.628 0.750  -0.02
4 Ce 0.655 0.541 0.250  0.53
5 Pm 0.831 0.323 0.565  0.05
6 Ir 0.036 0.372 0.250  -0.02
7 Pm 0.669 0.823 0.565  0.05
8 Pm 0.169 0.677 0.435  0.05
9 Pm 0.169 0.677 0.065  0.05
10 Pm 0.331 0.177 0.435  0.05
11 Pm 0.831 0.323 0.935  0.05
12 Pm 0.669 0.823 0.935  0.05
13 Ir 0.536 0.128 0.750  -0.02
14 Pm 0.331 0.177 0.065  0.05
15 Ce 0.345 0.459 0.750  0.53
16 Ce 0.845 0.041 0.250  0.53

Values from the calculation:
E above lowest polymorph = 0.0000 eV/atom
V = 115.5 Å³/f.u.
uncorrected energy = -6.52 eV per atom

---

(11)
Pm12Si6C after structural relaxation, computed with PBE.

Lattice parameters (Å, degrees): 8.332 8.332 8.332 98.52 98.52 98.52
Positions (direct):
1 Si 0.875 0.381 0.706
2 C 0.000 0.000 0.000
3 Pm 0.692 0.934 0.033
4 Pm 0.432 0.814 0.570
5 Pm 0.308 0.066 0.967
6 Pm 0.430 0.568 0.186
7 Pm 0.186 0.430 0.568
8 Pm 0.814 0.570 0.432
9 Si 0.294 0.125 0.619
10 Pm 0.570 0.432 0.814
11 Si 0.125 0.619 0.294
12 Si 0.381 0.706 0.875
13 Si 0.706 0.875 0.381
14 Si 0.619 0.294 0.125
15 Pm 0.066 0.967 0.308
16 Pm 0.568 0.186 0.430
17 Pm 0.934 0.033 0.692
18 Pm 0.033 0.692 0.934
19 Pm 0.967 0.308 0.066

Values from the calculation:
V = 557.1 Å³/f.u.
uncorrected energy = -5.58 eV per atom
raw formation energy = -0.39 eV per atom

---

(12)
PrTmZnAu after structural relaxation, computed with PBE.

Lattice parameters (Å, degrees): 5.152 5.152 5.152 60.00 60.00 60.00
Positions (direct):
1 Zn 0.000 0.000 0.000
2 Au 0.500 0.500 0.500
3 Pr 0.250 0.250 0.250
4 Tm 0.750 0.750 0.750

Values from the calculation:
E above lowest polymorph = 0.0327 eV/atom
V = 96.7 Å³/f.u.
uncorrected energy = -3.99 eV per atom

---

(13)
BaMgBr after structural relaxation, computed with PBE.

Lattice parameters (Å, degrees): 5.573 5.573 5.573 60.00 60.00 60.00
Last column: magnetic moment on the atom in μB.
Positions (direct):
1 Ba 0.500 0.500 0.500  0.08
2 Mg 0.000 0.000 0.000  0.01
3 Br 0.750 0.750 0.750  0.02

Values from the calculation:
E above lowest polymorph = 0.1590 eV/atom
V = 122.4 Å³/f.u.
uncorrected energy = -2.38 eV per atom
raw formation energy = -0.65 eV per atom

---

(14)
SiH2Pd6 after structural relaxation, computed with PBE.

Lattice parameters (Å, degrees): 4.815 5.593 5.977 130.38 78.29 86.65
Positions (direct):
1 H 0.341 0.506 0.209
2 Si 0.000 0.000 0.000
3 Pd 0.763 0.071 0.433
4 Pd 0.237 0.929 0.567
5 H 0.659 0.494 0.791
6 Pd 0.257 0.575 0.935
7 Pd 0.706 0.731 0.683
8 Pd 0.294 0.269 0.317
9 Pd 0.743 0.425 0.065

Values from the calculation:
E above lowest polymorph = 0.0105 eV/atom
V = 116.1 Å³/f.u.
uncorrected energy = -5.04 eV per atom